# HoAlCo2C | Alexandria via LeMat-Bulk | PBE | relaxed
# Formation energy from the elements: -0.3968 eV per atom
data_HoAlCo2C
_cell_length_a 3.784
_cell_length_b 5.647
_cell_length_c 6.830
_cell_angle_alpha 90.00
_cell_angle_beta 90.00
_cell_angle_gamma 109.58
_symmetry_space_group_name_H-M 'P 1'
_symmetry_Int_Tables_number 1
_symmetry_space_group_name_Hall 'P 1'
loop_
_atom_site_label
_atom_site_type_symbol
_atom_site_fract_x
_atom_site_fract_y
_atom_site_fract_z
_atom_site_occupancy
Co1 Co 0.160 0.321 0.558 1
Co2 Co 0.160 0.321 0.942 1
Co3 Co 0.840 0.679 0.442 1
Co4 Co 0.840 0.679 0.058 1
Ho1 Ho 0.448 0.896 0.750 1
Ho2 Ho 0.552 0.104 0.250 1
Al1 Al 0.727 0.455 0.750 1
Al2 Al 0.273 0.545 0.250 1
C1 C 0.000 0.000 0.500 1
C2 C 0.000 0.000 0.000 1